Entry 1:
First-principles (GGA-PBE) data for crystalline Mg2PtF at its relaxed geometry, as listed in Alexandria via LeMat-Bulk.

The uncorrected formation energy comes out at -1103 meV/atom.

The structure belongs to space group Fm-3m (No. 225); the cell edges are 6.338, 6.338 and 6.338 Å and the angles 90.00°, 90.00° and 90.00°. The distinct sites, in fractional coordinates, are Mg at (0.250, 0.250, 0.250), Pt at (0.000, 0.000, 0.000) and F at (0.000, 0.000, 0.500).

Entry 2:
First-principles (GGA-PBE) data for crystalline Rb2MgPtF6 at its relaxed geometry, as listed in Alexandria via LeMat-Bulk.

The uncorrected formation energy comes out at -2396 meV/atom.

The structure belongs to space group I4/mmm (No. 139); the cell edges are 6.065, 6.065 and 8.555 Å and the angles 90.00°, 90.00° and 90.00°. The distinct sites, in fractional coordinates, are Rb at (0.000, 0.500, 0.250), Mg at (0.000, 0.000, 0.000), Pt at (0.000, 0.000, 0.500), F at (0.000, 0.000, 0.237) and F at (0.236, 0.236, 0.000).

Entry 3:
First-principles (GGA-PBE) data for crystalline MgPtRh2F at its relaxed geometry, as listed in Alexandria via LeMat-Bulk.

The uncorrected formation energy comes out at 159 meV/atom.

The structure belongs to space group P4/mmm (No. 123); the cell edges are 4.832, 4.832 and 3.468 Å and the angles 90.00°, 90.00° and 90.00°. The distinct sites, in fractional coordinates, are Mg at (0.000, 0.000, 0.000), Pt at (0.500, 0.500, 0.500), Rh at (0.000, 0.500, 0.000) and F at (0.000, 0.000, 0.500).

Entry 4:
First-principles (GGA-PBE) data for crystalline MgRu2PtF at its relaxed geometry, as listed in Alexandria via LeMat-Bulk.

The uncorrected formation energy comes out at 158 meV/atom.

The structure belongs to space group P4/mmm (No. 123); the cell edges are 4.265, 4.265 and 3.949 Å and the angles 90.00°, 90.00° and 90.00°. The distinct sites, in fractional coordinates, are Mg at (0.000, 0.000, 0.000), Ru at (0.000, 0.500, 0.500), Pt at (0.500, 0.500, 0.000) and F at (0.000, 0.000, 0.500).

Entry 5:
First-principles (GGA-PBE) data for crystalline MgPt2SF at its relaxed geometry, as listed in Alexandria via LeMat-Bulk.

The uncorrected formation energy comes out at -356 meV/atom.

The structure belongs to space group P4/mmm (No. 123); the cell edges are 4.515, 4.515 and 4.315 Å and the angles 90.00°, 90.00° and 90.00°. The distinct sites, in fractional coordinates, are Mg at (0.000, 0.000, 0.000), Pt at (0.000, 0.500, 0.500), S at (0.500, 0.500, 0.500) and F at (0.500, 0.500, 0.000).

Entry 6:
First-principles (GGA-PBE) data for crystalline Mg2SbPtF at its relaxed geometry, as listed in Alexandria via LeMat-Bulk.

The uncorrected formation energy comes out at -790 meV/atom.

The structure belongs to space group P4/mmm (No. 123); the cell edges are 4.169, 4.169 and 5.088 Å and the angles 90.00°, 90.00° and 90.00°. The distinct sites, in fractional coordinates, are Mg at (0.000, 0.500, 0.000), Sb at (0.000, 0.000, 0.500), Pt at (0.500, 0.500, 0.500) and F at (0.000, 0.000, 0.000).

Entry 7:
First-principles (GGA-PBE) data for crystalline MgSi2PtF at its relaxed geometry, as listed in Alexandria via LeMat-Bulk.

The uncorrected formation energy comes out at 16 meV/atom.

The structure belongs to space group P4/mmm (No. 123); the cell edges are 5.011, 5.011 and 3.566 Å and the angles 90.00°, 90.00° and 90.00°. The distinct sites, in fractional coordinates, are Mg at (0.000, 0.000, 0.000), Si at (0.000, 0.500, 0.000), Pt at (0.500, 0.500, 0.500) and F at (0.000, 0.000, 0.500).

Entry 8:
First-principles (GGA-PBE) data for crystalline Pu2MgF11 at its relaxed geometry, as listed in Alexandria via LeMat-Bulk.

The uncorrected formation energy comes out at -3301 meV/atom.

The structure belongs to space group C2/c (No. 15); the cell edges are 13.440, 8.847 and 9.631 Å and the angles 90.00°, 130.39° and 90.00°. The distinct sites, in fractional coordinates, are Pu at (0.241, 0.128, 0.198), Mg at (0.000, 0.340, 0.250), F at (0.072, 0.075, 0.951), F at (0.090, 0.338, 0.523), F at (0.124, 0.494, 0.812), F at (0.126, 0.195, 0.274), F at (0.236, 0.101, 0.768) and F at (0.250, 0.250, 0.000).

Entry 9:
First-principles (GGA-PBE) data for crystalline PuMgF5 at its relaxed geometry, as listed in Alexandria via LeMat-Bulk.

The uncorrected formation energy comes out at -3559 meV/atom.

The structure belongs to space group C2/c (No. 15); the cell edges are 9.255, 6.699 and 7.842 Å and the angles 90.00°, 115.23° and 90.00°. The distinct sites, in fractional coordinates, are Pu at (0.000, 0.051, 0.250), Mg at (0.000, 0.500, 0.000), F at (0.000, 0.416, 0.250), F at (0.012, 0.199, 0.970) and F at (0.235, 0.477, 0.622).

Entry 10:
First-principles (GGA-PBE) data for crystalline Rb4PuMg3F12 at its relaxed geometry, as listed in Alexandria via LeMat-Bulk.

The uncorrected formation energy comes out at -3129 meV/atom.

The structure belongs to space group Im-3m (No. 229); the cell edges are 8.634, 8.634 and 8.634 Å and the angles 90.00°, 90.00° and 90.00°. The distinct sites, in fractional coordinates, are Rb at (0.250, 0.250, 0.250), Pu at (0.000, 0.000, 0.000), Mg at (0.000, 0.000, 0.500), F at (0.000, 0.000, 0.275) and F at (0.000, 0.250, 0.500).

Entry 11:
First-principles (GGA-PBE) data for crystalline Rb2PuMg3F12 at its relaxed geometry, as listed in Alexandria via LeMat-Bulk.

The uncorrected formation energy comes out at -3349 meV/atom.

The structure belongs to space group R-3m (No. 166, hexagonal axes); the cell edges are 7.4597, 7.4597 and 18.7931 Å and the angles 90.00°, 90.00° and 120.00°. The distinct sites, in fractional coordinates, are Rb at (0.0000, 0.0000, 0.0960), Pu at (0.0000, 0.0000, 0.5000), Mg at (0.0000, 0.5000, 0.0000), F at (0.0411, 0.5205, 0.1103) and F at (0.0766, 0.5383, 0.3401).

Entry 12:
First-principles (GGA-PBE) data for crystalline PuMgTl2F6 at its relaxed geometry, as listed in Alexandria via LeMat-Bulk.

The uncorrected formation energy comes out at -2711 meV/atom.

The structure belongs to space group Pmmn (No. 59, origin choice 2); the cell edges are 6.244, 8.765 and 6.320 Å and the angles 90.00°, 90.00° and 90.00°. The distinct sites, in fractional coordinates, are Pu at (0.250, 0.250, 0.210), Mg at (0.250, 0.750, 0.270), Tl at (0.250, 0.003, 0.736), F at (0.008, 0.750, 0.488), F at (0.028, 0.750, 0.033) and F at (0.250, 0.517, 0.278).

Entry 13:
First-principles (GGA-PBE) data for crystalline PuMg3Tl2F12 at its relaxed geometry, as listed in Alexandria via LeMat-Bulk.

The uncorrected formation energy comes out at -3091 meV/atom.

The structure belongs to space group R-3m (No. 166, hexagonal axes); the cell edges are 7.5370, 7.5370 and 16.4052 Å and the angles 90.00°, 90.00° and 120.00°. The distinct sites, in fractional coordinates, are Pu at (0.0000, 0.0000, 0.0000), Mg at (0.0000, 0.5000, 0.5000), Tl at (0.0000, 0.0000, 0.3918), F at (0.0007, 0.5003, 0.6240) and F at (0.0926, 0.5463, 0.8150).

Entry 14:
First-principles (GGA-PBE) data for crystalline RbMgF3 at its relaxed geometry, as listed in Alexandria via LeMat-Bulk.

The uncorrected formation energy comes out at -3259 meV/atom.

The structure belongs to space group P6_3/mmc (No. 194); the cell edges are 5.9288, 5.9288 and 14.4310 Å and the angles 90.00°, 90.00° and 120.00°. The distinct sites, in fractional coordinates, are Rb at (0.0000, 0.0000, 0.2500), Rb at (0.3333, 0.6667, 0.0983), Mg at (0.0000, 0.0000, 0.0000), Mg at (0.3333, 0.6667, 0.6524), F at (0.0418, 0.5209, 0.7500) and F at (0.1659, 0.3318, 0.5798).

Entry 15:
First-principles (GGA-PBE) data for crystalline RbMg3F at its relaxed geometry, as listed in Alexandria via LeMat-Bulk.

The uncorrected formation energy comes out at -404 meV/atom.

The structure belongs to space group Pm-3m (No. 221); the cell edges are 5.223, 5.223 and 5.223 Å and the angles 90.00°, 90.00° and 90.00°. The distinct sites, in fractional coordinates, are Rb at (0.000, 0.000, 0.000), Mg at (0.000, 0.500, 0.500) and F at (0.500, 0.500, 0.500).

Entry 16:
First-principles (GGA-PBE) data for crystalline Rb4MgF5 at its relaxed geometry, as listed in Alexandria via LeMat-Bulk.

The uncorrected formation energy comes out at -2657 meV/atom.

The structure belongs to space group I4/m (No. 87); the cell edges are 10.312, 10.312 and 4.223 Å and the angles 90.00°, 90.00° and 90.00°. The distinct sites, in fractional coordinates, are Rb at (0.085, 0.737, 0.000), Mg at (0.000, 0.000, 0.500), F at (0.000, 0.000, 0.000) and F at (0.095, 0.172, 0.500).

Entry 17:
First-principles (GGA-PBE) data for crystalline RbMg3F at its relaxed geometry, as listed in Alexandria via LeMat-Bulk.

The uncorrected formation energy comes out at 539 meV/atom.

The structure belongs to space group Pm-3m (No. 221); the cell edges are 7.228, 7.228 and 7.228 Å and the angles 90.00°, 90.00° and 90.00°. The distinct sites, in fractional coordinates, are Rb at (0.000, 0.000, 0.000), Mg at (0.000, 0.000, 0.500) and F at (0.500, 0.500, 0.500).

Entry 18:
First-principles (GGA-PBE) data for crystalline Rb3MgF5 at its relaxed geometry, as listed in Alexandria via LeMat-Bulk.

The uncorrected formation energy comes out at -2953 meV/atom.

The structure belongs to space group I4/mcm (No. 140); the cell edges are 7.650, 7.650 and 12.467 Å and the angles 90.00°, 90.00° and 90.00°. The distinct sites, in fractional coordinates, are Rb at (0.000, 0.000, 0.250), Rb at (0.181, 0.319, 0.000), Mg at (0.000, 0.500, 0.250), F at (0.000, 0.000, 0.000) and F at (0.137, 0.363, 0.343).

Entry 19:
First-principles (GGA-PBE) data for crystalline RbMgF3 at its relaxed geometry, as listed in Alexandria via LeMat-Bulk.

The uncorrected formation energy comes out at -3257 meV/atom.

The structure belongs to space group Pm-3m (No. 221); the cell edges are 4.126, 4.126 and 4.126 Å and the angles 90.00°, 90.00° and 90.00°. The distinct sites, in fractional coordinates, are Rb at (0.000, 0.000, 0.000), Mg at (0.500, 0.500, 0.500) and F at (0.000, 0.500, 0.500).

Entry 20:
First-principles (GGA-PBE) data for crystalline RbMgF3 at its relaxed geometry, as listed in Alexandria via LeMat-Bulk.

The uncorrected formation energy comes out at -2696 meV/atom.

The structure belongs to space group P6_3/mmc (No. 194); the cell edges are 6.9310, 6.9310 and 14.3171 Å and the angles 90.00°, 90.00° and 120.00°. The distinct sites, in fractional coordinates, are Rb at (0.0000, 0.0000, 0.2500), Rb at (0.3333, 0.6667, 0.1371), Mg at (0.0000, 0.0000, 0.0000), Mg at (0.3333, 0.6667, 0.6594), F at (0.0889, 0.5444, 0.7500) and F at (0.1345, 0.2689, 0.0848).